DFT (PBE-GGA) results for GeTeW after structural relaxation.

As for the distance to the lowest polymorph of the same formula: 1.7 kJ per mole of atoms. For the uncorrected formation energy, the calculation gives 0.222 eV/atom. The value obtained for the mass density is 9867 kg/m³. Its crystal system is monoclinic.

The structure belongs to space group C2/m (No. 12); the cell edges are 11.491, 3.440 and 7.169 Å and the angles 90.00°, 114.14° and 90.00°. The inequivalent atoms are Ge at (0.032, 0.000, 0.207), Te at (0.179, 0.500, 0.687) and W at (0.146, 0.500, 0.037).